Ca2SnPb, optimized geometry, DFT PBE; SG = P4/mmm; DFT total energy = -14.00 eV per cell; M_tot = 0.0 μB per cell; ΔH_f (0 K) = -0.570 eV per atom
1.0
-2.8658 2.1214 0.1194
-1.5830 -2.2654 2.2560
3.6215 4.4949 7.0546
Pb Ca Sn
1 2 1
Direct
0.5000 0.5000 0.0000
0.0000 0.0000 0.7440
0.0000 0.0000 0.2560
0.5000 0.5000 0.5000